First-principles (PBE) data for Pa2CoNiN5 after structural relaxation, as listed in Alexandria.

Lattice parameters (Å, degrees): 3.270 6.602 9.664 90.00 90.00 104.34
Sites, in units of the cell vectors:
1 N 0.064 0.127 0.062
2 N 0.372 0.743 0.998
3 Pa 0.906 0.811 0.172
4 Pa 0.848 0.696 0.804
5 Pa 0.094 0.189 0.672
6 Pa 0.152 0.304 0.304
7 N 0.725 0.451 0.160
8 Co 0.789 0.578 0.518
9 Ni 0.536 0.072 0.952
10 N 0.681 0.361 0.890
11 N 0.486 0.972 0.768
12 N 0.514 0.028 0.268
13 N 0.628 0.257 0.498
14 N 0.275 0.549 0.660
15 N 0.936 0.873 0.562
16 N 0.319 0.639 0.390
17 Co 0.211 0.422 0.018
18 Ni 0.464 0.928 0.452

space group	Cmc2_1
E_form (uncorrected)	-0.705	eV per atom
density of states at the Fermi level	9.4	states/eV per cell